No. 1
VASP calculation (PBE) on a relaxed KHo3F10 crystal.

```
data_KHo3F10
_chemical_formula_sum 'K8 Ho24 F80'
_symmetry_space_group_name_H-M 'F m -3 m'
_symmetry_Int_Tables_number 225
_symmetry_space_group_name_Hall '-F 4 2 3'
_cell_length_a 11.603
_cell_length_b 11.603
_cell_length_c 11.603
_cell_angle_alpha 90.00
_cell_angle_beta 90.00
_cell_angle_gamma 90.00
loop_
_atom_site_label
_atom_site_type_symbol
_atom_site_fract_x
_atom_site_fract_y
_atom_site_fract_z
K1 K 0.250 0.250 0.250
Ho1 Ho 0.000 0.000 0.240
F1 F 0.000 0.165 0.335
F2 F 0.112 0.112 0.112
```

Properties
- total DFT energy (no corrections) (eV/atom) = -6.398
- M_tot (μB/cell) = 1.36
- Fermi-level density of states (states/eV/f.u.) = 0.000
- uncorrected formation energy (meV per atom) = -4002

***

No. 2
VASP calculation (PBE) on a relaxed K3HoF6 crystal.

```
data_K3HoF6
_chemical_formula_sum 'K6 Ho2 F12'
_symmetry_space_group_name_H-M 'I 4/m m m'
_symmetry_Int_Tables_number 139
_symmetry_space_group_name_Hall '-I 4 2'
_cell_length_a 7.059
_cell_length_b 7.059
_cell_length_c 9.199
_cell_angle_alpha 90.00
_cell_angle_beta 90.00
_cell_angle_gamma 90.00
loop_
_atom_site_label
_atom_site_type_symbol
_atom_site_fract_x
_atom_site_fract_y
_atom_site_fract_z
K1 K 0.000 0.000 0.000
K2 K 0.000 0.500 0.250
Ho1 Ho 0.000 0.000 0.500
F1 F 0.000 0.000 0.262
F2 F 0.000 0.306 0.500
```

Properties
- total DFT energy (no corrections) (eV/atom) = -5.170
- M_tot (μB/cell) = 0.00
- Fermi-level density of states (states/eV/f.u.) = 0.000
- uncorrected formation energy (meV per atom) = -3260